The following is a DFT calculation (PBE) of crystalline Nd3Sm8Er4 at its relaxed geometry.

Properties
Crystal system = monoclinic
Magnetic moment = 0.000 μB per formula unit
Energy of formation from the pure elements = 5.20 eV per formula unit
Mass density = 7.5 Mg/m³
E_tot = -4.341 eV per atom

abc: 9.248 9.248 6.877
angles: 111.35 111.35 82.47
Positions (direct):
Nd1 0.000 0.000 0.000
Nd2 0.000 0.500 0.500
Nd3 0.500 0.000 0.500
Sm1 0.204 0.204 0.689
Sm2 0.205 0.795 0.500
Sm3 0.253 0.253 0.229
Sm4 0.253 0.747 0.000
Sm5 0.747 0.253 0.000
Sm6 0.747 0.747 0.771
Sm7 0.795 0.205 0.500
Sm8 0.796 0.796 0.311
Er1 0.000 0.500 0.000
Er2 0.500 0.000 0.000
Er3 0.500 0.500 0.000
Er4 0.500 0.500 0.500